## La2NbCr2N6 (PBE)

Data for a relaxed structure of La2NbCr2N6.

## Properties
formation energy without anion corrections = -0.821 eV/atom
SG = R-3m (166)
calculated volume = 155.6 Å³ per cell

Unit cell a=6.2860 b=6.2860 c=6.2860 alpha=55.10 beta=55.10 gamma=55.10
Fractional positions:
1 La 0.2197 0.2197 0.2197
2 La 0.7803 0.7803 0.7803
3 Nb 0.0000 0.0000 0.0000
4 Cr 0.4340 0.4340 0.4340
5 Cr 0.5660 0.5660 0.5660
6 N 0.2434 0.2434 0.7552
7 N 0.2434 0.7552 0.2434
8 N 0.2448 0.7566 0.7566
9 N 0.7552 0.2434 0.2434
10 N 0.7566 0.2448 0.7566
11 N 0.7566 0.7566 0.2448

=====

## LaNb2CrN4 (PBE)

Data for a relaxed structure of LaNb2CrN4.

## Properties
formation energy without anion corrections = -0.976 eV/atom
SG = Cmcm (63)
calculated volume = 195.1 Å³ per cell

Unit cell a=5.7509 b=5.7509 c=10.8536 alpha=90.00 beta=90.00 gamma=147.07
Fractional positions:
1 La 0.0985 0.9015 0.7500
2 La 0.9015 0.0985 0.2500
3 Nb 0.3720 0.6280 0.5445
4 Nb 0.3720 0.6280 0.9555
5 Nb 0.6280 0.3720 0.0445
6 Nb 0.6280 0.3720 0.4555
7 Cr 0.1633 0.8367 0.2500
8 Cr 0.8367 0.1633 0.7500
9 N 0.0000 0.0000 0.0000
10 N 0.0000 0.0000 0.5000
11 N 0.2674 0.7326 0.1140
12 N 0.2674 0.7326 0.3860
13 N 0.4275 0.5725 0.7500
14 N 0.5725 0.4275 0.2500
15 N 0.7326 0.2674 0.6140
16 N 0.7326 0.2674 0.8860

=====

## LaNdCrN4 (PBE)

Data for a relaxed structure of LaNdCrN4.

## Properties
formation energy without anion corrections = -1.076 eV/atom
SG = P2_1/m (11)
calculated volume = 216.5 Å³ per cell

Unit cell a=5.6924 b=5.4646 c=7.2547 alpha=90.00 beta=106.40 gamma=90.00
Fractional positions:
1 La 0.2159 0.2500 0.0267
2 La 0.7841 0.7500 0.9733
3 Nd 0.2610 0.2500 0.5438
4 Nd 0.7390 0.7500 0.4562
5 Cr 0.2289 0.7500 0.7824
6 Cr 0.7711 0.2500 0.2176
7 N 0.0333 0.5017 0.7248
8 N 0.0333 0.9983 0.7248
9 N 0.3703 0.7500 0.0272
10 N 0.4481 0.7500 0.6555
11 N 0.5519 0.2500 0.3445
12 N 0.6297 0.2500 0.9728
13 N 0.9667 0.0017 0.2752
14 N 0.9667 0.4983 0.2752

=====

## La2NdCrN4 (PBE)

Data for a relaxed structure of La2NdCrN4.

## Properties
formation energy without anion corrections = -1.010 eV/atom
SG = Cmcm (63)
calculated volume = 261.5 Å³ per cell

Unit cell a=6.2060 b=6.2060 c=12.4959 alpha=90.00 beta=90.00 gamma=147.09
Fractional positions:
1 La 0.1338 0.8662 0.5423
2 La 0.1338 0.8662 0.9577
3 La 0.8662 0.1338 0.0423
4 La 0.8662 0.1338 0.4577
5 Nd 0.3927 0.6073 0.7500
6 Nd 0.6073 0.3927 0.2500
7 Cr 0.3311 0.6689 0.2500
8 Cr 0.6689 0.3311 0.7500
9 N 0.0899 0.9101 0.7500
10 N 0.2261 0.7739 0.1411
11 N 0.2261 0.7739 0.3589
12 N 0.5000 0.5000 0.0000
13 N 0.5000 0.5000 0.5000
14 N 0.7739 0.2261 0.6411
15 N 0.7739 0.2261 0.8589
16 N 0.9101 0.0899 0.2500

=====

## LaNp2CrN4 (PBE)

Data for a relaxed structure of LaNp2CrN4.

## Properties
formation energy without anion corrections = -1.046 eV/atom
SG = Cmcm (63)
calculated volume = 226.5 Å³ per cell

Unit cell a=6.0560 b=6.0560 c=11.4465 alpha=90.00 beta=90.00 gamma=147.35
Fractional positions:
1 La 0.0975 0.9025 0.7500
2 La 0.9025 0.0975 0.2500
3 Np 0.3682 0.6318 0.5509
4 Np 0.3682 0.6318 0.9491
5 Np 0.6318 0.3682 0.0509
6 Np 0.6318 0.3682 0.4491
7 Cr 0.1639 0.8361 0.2500
8 Cr 0.8361 0.1639 0.7500
9 N 0.0000 0.0000 0.0000
10 N 0.0000 0.0000 0.5000
11 N 0.2634 0.7366 0.1160
12 N 0.2634 0.7366 0.3840
13 N 0.4304 0.5696 0.7500
14 N 0.5696 0.4304 0.2500
15 N 0.7366 0.2634 0.6160
16 N 0.7366 0.2634 0.8840

=====

## La2NpCr2N6 (PBE)

Data for a relaxed structure of La2NpCr2N6.

## Properties
formation energy without anion corrections = -0.845 eV/atom
SG = R-3m (166)
calculated volume = 163.3 Å³ per cell

Unit cell a=6.6915 b=6.6915 c=6.6915 alpha=50.30 beta=50.30 gamma=50.30
Fractional positions:
1 La 0.2100 0.2100 0.2100
2 La 0.7900 0.7900 0.7900
3 Np 0.0000 0.0000 0.0000
4 Cr 0.4016 0.4016 0.4016
5 Cr 0.5984 0.5984 0.5984
6 N 0.2351 0.7464 0.7464
7 N 0.2536 0.2536 0.7649
8 N 0.2536 0.7649 0.2536
9 N 0.7464 0.2351 0.7464
10 N 0.7464 0.7464 0.2351
11 N 0.7649 0.2536 0.2536

=====

## LaCr2OsN (PBE)

Data for a relaxed structure of LaCr2OsN.

## Properties
formation energy without anion corrections = 0.705 eV/atom
SG = P4/mmm (123)
calculated volume = 96.1 Å³ per cell
excess energy over the best structure of this formula in the dataset = 0 meV/atom

Unit cell a=5.0058 b=5.0058 c=3.8359 alpha=90.00 beta=90.00 gamma=90.00
Fractional positions:
1 La 0.0000 0.0000 0.0000
2 Cr 0.0000 0.5000 0.5000
3 Cr 0.5000 0.0000 0.5000
4 Os 0.5000 0.5000 0.5000
5 N 0.5000 0.5000 0.0000

=====

## LaCr2OsN (PBE)

Data for a relaxed structure of LaCr2OsN.

## Properties
formation energy without anion corrections = 3.473 eV/atom
SG = P4/mmm (123)
calculated volume = 96.9 Å³ per cell
excess energy over the best structure of this formula in the dataset = 2768 meV/atom

Unit cell a=4.4907 b=4.4907 c=4.8031 alpha=90.00 beta=90.00 gamma=90.00
Fractional positions:
1 La 0.0000 0.0000 0.0000
2 Cr 0.0000 0.5000 0.0000
3 Cr 0.5000 0.0000 0.0000
4 Os 0.0000 0.0000 0.5000
5 N 0.5000 0.5000 0.5000